Arrangement i

## BeMoBr (PBE-GGA)

Data for a relaxed BeMoBr crystal.

Cell lengths 4.163, 4.163, 4.163 Å; angles 60.00, 60.00, 60.00 degrees
Positions (direct):
Br 0.750 0.750 0.750
Be 0.500 0.500 0.500
Mo 0.000 0.000 0.000

Calculated values
symmetry: No. 216

Arrangement ii

## BeMoBr (PBE-GGA)

Data for a relaxed BeMoBr crystal.

Cell lengths 3.075, 3.075, 6.023 Å; angles 90.00, 90.00, 120.00 degrees
Positions (direct):
Br 0.667 0.333 0.356
Mo 0.333 0.667 0.677
Be 0.000 0.000 0.967

Calculated values
symmetry: No. 156

Relative energy of each structure, in meV/atom: arrangement i 892; arrangement ii 0.

Arrangement i

## LaReRu2 (PBE-GGA)

Data for a relaxed LaReRu2 crystal.

Cell lengths 7.362, 7.362, 6.023 Å; angles 52.32, 52.32, 90.00 degrees
Positions (direct):
Ru 0.375 0.316 0.750
Re 0.000 0.000 0.000
Ru 0.875 0.934 0.750
La 0.250 0.750 0.500
La 0.500 0.500 0.000
Ru 0.066 0.625 0.250
Re 0.750 0.250 0.500
Ru 0.684 0.125 0.250

Calculated values
symmetry: No. 122

Arrangement ii

## LaReRu2 (PBE-GGA)

Data for a relaxed LaReRu2 crystal.

Cell lengths 4.653, 4.653, 4.653 Å; angles 60.00, 60.00, 60.00 degrees
Positions (direct):
La 0.000 0.000 0.000
Ru 0.250 0.250 0.250
Re 0.500 0.500 0.500
Ru 0.750 0.750 0.750

Calculated values
symmetry: No. 225

Relative energy of each structure, in meV/atom: arrangement i 0; arrangement ii 18.